Crystalline RbMnSnBr5 at its relaxed geometry. Source: the Alexandria database, functional PBE-GGA. Values from VASP.

Cell and atoms, written as Quantum ESPRESSO input:
```
&SYSTEM
  ibrav = 0, nat = 16, ntyp = 4
/
ATOMIC_SPECIES
Rb 85.47 Rb.upf
Mn 54.94 Mn.upf
Sn 118.71 Sn.upf
Br 79.90 Br.upf
CELL_PARAMETERS angstrom
-4.5643 -6.0944 2.9153
7.3988 -0.9658 3.2862
-3.9062 8.7628 4.8245
ATOMIC_POSITIONS angstrom
Rb 2.2745 -0.5532 4.3637
Rb -3.3463 2.2558 6.6622
Mn -1.7770 -2.2901 4.2381
Mn 0.7052 3.9927 6.7879
Sn -1.9531 4.3814 2.4122
Sn 0.0000 0.0000 0.0000
Br 5.4009 0.7871 4.4607
Br -6.4727 0.9155 6.5653
Br -2.1917 -4.7650 4.3059
Br 1.1199 6.4676 6.7201
Br -3.8499 -0.8817 4.0932
Br 2.7781 2.5843 6.9328
Br -0.5867 -1.3757 6.2614
Br -0.4851 3.0784 4.7646
Br -0.1903 -2.0140 2.3009
Br -0.8815 3.7166 8.7251
```

Computed properties:
space-group type = C2/c, No. 15
raw formation energy = -1029.6 meV/atom

***

Crystalline PmNdBi2 at its relaxed geometry. Source: the Alexandria database, functional PBE-GGA. Values from VASP.

Cell and atoms, written as Quantum ESPRESSO input:
```
&SYSTEM
  ibrav = 0, nat = 4, ntyp = 3
/
ATOMIC_SPECIES
Nd 144.24 Nd.upf
Bi 208.98 Bi.upf
Pm 145.00 Pm.upf
CELL_PARAMETERS angstrom
4.1113 0.0000 0.0000
0.0000 5.5239 0.0000
0.0000 0.0000 5.5239
ATOMIC_POSITIONS angstrom
Nd 2.0557 0.0000 0.0000
Bi 0.0000 0.0000 2.7619
Bi 0.0000 2.7619 0.0000
Pm 2.0557 2.7619 2.7619
```

Computed properties:
space-group type = P4/mmm, No. 123
energy above the most stable polymorph in this dataset = 254.5 meV/atom
energy of formation = -691 meV per atom

***

Crystalline PmB2N2 at its relaxed geometry. Source: the Alexandria database, functional PBE-GGA. Values from VASP.

Cell and atoms, written as Quantum ESPRESSO input:
```
&SYSTEM
  ibrav = 0, nat = 5, ntyp = 3
/
ATOMIC_SPECIES
Pm 145.00 Pm.upf
B 10.81 B.upf
N 14.01 N.upf
CELL_PARAMETERS angstrom
2.7999 0.0000 0.0000
0.0000 4.1133 -2.3748
0.0000 0.0000 4.7496
ATOMIC_POSITIONS angstrom
Pm 0.0000 0.0000 0.0000
B 1.4001 2.7422 0.0000
B 1.3998 1.3711 2.3748
N 0.0001 2.7422 0.0000
N 2.7998 1.3711 2.3748
```

Computed properties:
space-group type = P6/mmm, No. 191
raw formation energy = -316.0 meV/atom

***

Crystalline KBeMoPt2 at its relaxed geometry. Source: the Alexandria database, functional PBE-GGA. Values from VASP.

Cell and atoms, written as Quantum ESPRESSO input:
```
&SYSTEM
  ibrav = 0, nat = 5, ntyp = 4
/
ATOMIC_SPECIES
Be 9.01 Be.upf
Mo 95.94 Mo.upf
K 39.10 K.upf
Pt 195.08 Pt.upf
CELL_PARAMETERS angstrom
-2.4349 -0.0466 4.3509
1.4852 -3.8126 0.7904
3.9717 2.0125 2.2442
ATOMIC_POSITIONS angstrom
Be 0.7426 -1.9063 0.3952
Mo 1.5110 -0.9233 3.6928
K 0.0000 0.0000 0.0000
Pt 1.9859 1.0063 1.1221
Pt -1.2174 -0.0233 2.1755
```

Computed properties:
space-group type = P4/mmm, No. 123
energy of formation = 2390 meV per atom

***

Crystalline KCuCl3 at its relaxed geometry. Source: the Alexandria database, functional PBE-GGA. Values from VASP.

Cell and atoms, written as Quantum ESPRESSO input:
```
&SYSTEM
  ibrav = 0, nat = 20, ntyp = 3
/
ATOMIC_SPECIES
K 39.10 K.upf
Cu 63.55 Cu.upf
Cl 35.45 Cl.upf
CELL_PARAMETERS angstrom
13.8144 0.0000 0.0000
0.0000 4.5353 0.2465
0.0000 2.1678 9.0101
ATOMIC_POSITIONS angstrom
K 11.5479 4.3166 3.9887
K 4.6407 1.3026 0.7629
K 2.2665 2.3865 5.2679
K 9.1737 5.4005 8.4937
Cu 7.6525 1.9792 3.2424
Cu 0.7453 3.6400 1.5091
Cu 6.1619 4.7239 6.0142
Cu 13.0691 3.0631 7.7475
Cl 13.7656 2.1714 3.0321
Cl 1.3662 2.7898 8.6508
Cl 5.5410 1.7059 4.1458
Cl 12.4482 3.9133 0.6058
Cl 10.9597 3.1639 6.9515
Cl 4.0525 4.6231 6.8102
Cl 2.8547 3.5392 2.3051
Cl 6.8584 3.4478 1.7194
Cl 0.0488 4.5317 6.2245
Cl 6.9560 3.2553 7.5372
Cl 9.7619 2.0800 2.4464
Cl 8.2734 4.9972 5.1108
```

Computed properties:
space-group type = P2_1/c, No. 14
raw formation energy = -1097.2 meV/atom

***

Crystalline Pm3Ho2Ag3 at its relaxed geometry. Source: the Alexandria database, functional PBE-GGA. Values from VASP.

Cell and atoms, written as Quantum ESPRESSO input:
```
&SYSTEM
  ibrav = 0, nat = 8, ntyp = 3
/
ATOMIC_SPECIES
Pm 145.00 Pm.upf
Ho 164.93 Ho.upf
Ag 107.87 Ag.upf
CELL_PARAMETERS angstrom
3.6531 0.0000 -0.5883
-0.2024 5.2274 -1.2571
-0.0335 -0.0219 11.4280
ATOMIC_POSITIONS angstrom
Pm 1.2792 1.9596 7.9428
Pm 2.1380 3.2459 1.6398
Pm 1.8266 0.0000 -0.2942
Ho 0.8048 4.0017 4.9975
Ho 2.6124 1.2038 4.5851
Ag 3.0077 4.5781 7.0396
Ag -0.1012 2.6137 -0.6285
Ag 0.4096 0.6274 2.5430
```

Computed properties:
space-group type = Immm, No. 71
energy of formation = -199 meV per atom

***

Crystalline CaRe2Si at its relaxed geometry. Source: the Alexandria database, functional PBE-GGA. Values from VASP.

Cell and atoms, written as Quantum ESPRESSO input:
```
&SYSTEM
  ibrav = 0, nat = 4, ntyp = 3
/
ATOMIC_SPECIES
Ca 40.08 Ca.upf
Re 186.21 Re.upf
Si 28.09 Si.upf
CELL_PARAMETERS angstrom
4.1915 0.0000 0.0000
0.0000 3.0839 0.0744
0.0000 1.3860 5.9301
ATOMIC_POSITIONS angstrom
Ca 2.0957 3.1712 4.2469
Re 0.0000 3.2535 0.8285
Re 2.0957 1.6987 1.2811
Si 0.0000 1.6653 2.7245
```

Computed properties:
space-group type = Pm, No. 6
raw formation energy = 195.1 meV/atom

***

Crystalline LaMg2Se at its relaxed geometry. Source: the Alexandria database, functional PBE-GGA. Values from VASP.

Cell and atoms, written as Quantum ESPRESSO input:
```
&SYSTEM
  ibrav = 0, nat = 4, ntyp = 3
/
ATOMIC_SPECIES
La 138.91 La.upf
Mg 24.30 Mg.upf
Se 78.96 Se.upf
CELL_PARAMETERS angstrom
3.7284 -0.0112 0.0000
0.0109 3.7284 0.0000
0.0000 0.0000 7.1717
ATOMIC_POSITIONS angstrom
La 1.8696 1.8586 5.2738
Mg 0.0000 0.0000 0.3083
Mg 1.8696 1.8586 1.8432
Se 0.0000 0.0000 3.3323
```

Computed properties:
space-group type = P4mm, No. 99
raw formation energy = -627.5 meV/atom

***

Crystalline SbI2NCl at its relaxed geometry. Source: the Alexandria database, functional PBE-GGA. Values from VASP.

Cell and atoms, written as Quantum ESPRESSO input:
```
&SYSTEM
  ibrav = 0, nat = 5, ntyp = 4
/
ATOMIC_SPECIES
I 126.90 I.upf
Sb 121.76 Sb.upf
N 14.01 N.upf
Cl 35.45 Cl.upf
CELL_PARAMETERS angstrom
-5.5729 0.7255 -2.5604
1.4395 -4.1758 -4.3162
-1.4298 -2.8692 2.2990
ATOMIC_POSITIONS angstrom
I 0.7197 -2.0879 -2.1581
I -2.7864 0.3627 -1.2802
Sb 0.0000 0.0000 0.0000
N -0.7149 -1.4346 1.1495
Cl -2.7816 -3.1598 -2.2888
```

Computed properties:
space-group type = P4/mmm, No. 123
energy above the most stable polymorph in this dataset = 0.0 meV/atom
raw formation energy = 740.6 meV/atom

***

Crystalline CaPm4Ge4 at its relaxed geometry. Source: the Alexandria database, functional PBE-GGA. Values from VASP.

Cell and atoms, written as Quantum ESPRESSO input:
```
&SYSTEM
  ibrav = 0, nat = 18, ntyp = 3
/
ATOMIC_SPECIES
Ca 40.08 Ca.upf
Pm 145.00 Pm.upf
Ge 72.64 Ge.upf
CELL_PARAMETERS angstrom
6.0417 0.0000 0.0000
0.0000 9.2753 0.0000
0.0000 0.0000 9.2753
ATOMIC_POSITIONS angstrom
Ca 0.0000 0.0000 0.0000
Ca 3.0208 4.6377 4.6377
Pm 2.2476 3.0232 8.4025
Pm 5.2685 5.5105 7.6609
Pm 2.2476 6.2521 0.8728
Pm 0.7732 1.6145 5.5105
Pm 3.7940 8.4025 6.2521
Pm 0.7732 7.6609 3.7649
Pm 5.2685 3.7649 1.6145
Pm 3.7940 0.8728 3.0232
Ge 3.8234 7.1642 3.3987
Ge 3.8234 2.1111 5.8766
Ge 0.8026 8.0364 6.7487
Ge 5.2391 2.5266 8.0364
Ge 5.2391 6.7487 1.2390
Ge 2.2182 3.3987 2.1111
Ge 2.2182 5.8766 7.1642
Ge 0.8026 1.2390 2.5266
```

Computed properties:
space-group type = P4_2/n, No. 86
energy of formation = -580 meV per atom

***

Energy list, top to bottom, in eV per atom: -3.843 -5.011 -7.267 -3.157 -3.244 -4.194 -7.885 -3.528 -2.738 -4.966
Density of states at the Fermi level list, top to bottom, in states/eV/cell: 0.0 4.6 1.6 4.0 1.9 8.2 1.9 2.4 7.0 14.5
Total moment list, top to bottom, in μB/f.u.: 5.0 0.0 0.0 3.2 1.0 0.0 0.0 0.7 1.7 0.0